VASP calculation (GGA-PBE) on a relaxed structure of ErB2Pd7.

Crystal system ... orthorhombic
Volume ... 321 Å³/cell
Magnetization ... 0.00 μB per formula unit
Calculated formation energy ... -28.2 kJ/mol of atoms

Cell and atoms, written as CIF:
```
data_ErB2Pd7
_space_group_name_H-M_alt 'C m m m'
_space_group_IT_number 65
_space_group_name_Hall '-C 2 2'
_cell_length_a 7.2019
_cell_length_b 10.6822
_cell_length_c 4.1771
_cell_angle_alpha 90.00
_cell_angle_beta 90.00
_cell_angle_gamma 90.00
loop_
_atom_site_label
_atom_site_fract_x
_atom_site_fract_y
_atom_site_fract_z
Er1 0.0000 0.0000 0.0000
B1 0.0000 0.2902 0.5000
Pd1 0.0000 0.3228 0.0000
Pd2 0.0000 0.5000 0.5000
Pd3 0.1897 0.1342 0.5000
```

***

VASP calculation (GGA-PBE) on a relaxed structure of Er4B3PdPt12.

Crystal system ... cubic
Volume ... 703 Å³/cell
Magnetization ... 0.00 μB per formula unit
Calculated formation energy ... -58.9 kJ/mol of atoms

Cell and atoms, written as CIF:
```
data_Er4B3PdPt12
_space_group_name_H-M_alt 'I m -3 m'
_space_group_IT_number 229
_space_group_name_Hall '-I 4 2 3'
_cell_length_a 8.8933
_cell_length_b 8.8933
_cell_length_c 8.8933
_cell_angle_alpha 90.00
_cell_angle_beta 90.00
_cell_angle_gamma 90.00
loop_
_atom_site_label
_atom_site_fract_x
_atom_site_fract_y
_atom_site_fract_z
Er1 0.2500 0.2500 0.2500
B1 0.0000 0.0000 0.5000
Pd1 0.0000 0.0000 0.0000
Pt1 0.0000 0.0000 0.2804
Pt2 0.0000 0.2500 0.5000
```

***

VASP calculation (GGA-PBE) on a relaxed structure of Er2BPd2Pt4.

Crystal system ... tetragonal
Volume ... 295 Å³/cell
Magnetization ... 0.00 μB per formula unit
Calculated formation energy ... -97.2 kJ/mol of atoms

Cell and atoms, written as CIF:
```
data_Er2BPd2Pt4
_space_group_name_H-M_alt 'I 4/m m m'
_space_group_IT_number 139
_space_group_name_Hall '-I 4 2'
_cell_length_a 5.8508
_cell_length_b 5.8508
_cell_length_c 8.6180
_cell_angle_alpha 90.00
_cell_angle_beta 90.00
_cell_angle_gamma 90.00
loop_
_atom_site_label
_atom_site_fract_x
_atom_site_fract_y
_atom_site_fract_z
Er1 0.0000 0.5000 0.2500
B1 0.0000 0.0000 0.0000
Pd1 0.0000 0.0000 0.2580
Pt1 0.2440 0.2440 0.5000
```